Material: LaSmAlCd
Method: DFT, PBE
State: optimized geometry

As for the raw total energy: -3.931 eV/atom. As for the formation energy: -0.36 eV per atom.

The space group is P4mm (No. 99) and the conventional cell measures 3.653, 3.653 and 8.224 Å, with angles of 90.00, 90.00 and 90.00 degrees. Symmetry generates all atoms from La at (0.000, 0.000, 0.000), Sm at (0.000, 0.000, 0.470), Al at (0.500, 0.500, 0.244) and Cd at (0.500, 0.500, 0.720).